Y2In3Ni: relaxed, PBE.

a b c (Å): 3.6522 4.7469 8.2167
angles (deg): 90.00 90.00 90.00
Element x y z (fractional)
Y1 0.0000 0.0000 0.0000
Y2 0.0000 0.5000 0.4450
In1 0.5000 0.0000 0.6035
In2 0.5000 0.5000 0.1440
In3 0.5000 0.5000 0.7965
Ni1 0.5000 0.0000 0.2840

Values from the calculation:
Space group: Pmm2 (25)
ΔE_f, eV per atom: -0.419